The following is a DFT calculation (PBE-GGA) of a relaxed structure of NbInP2O8.

Lattice parameters (Å, degrees): 4.994 4.994 8.050 92.87 92.87 63.57
Atoms (fractional coordinates):
Nb (0.000, 0.000, 0.000)
In (0.000, 0.000, 0.500)
P (0.361, 0.361, 0.214)
P (0.639, 0.639, 0.786)
O (0.223, 0.223, 0.076)
O (0.226, 0.700, 0.173)
O (0.300, 0.774, 0.827)
O (0.311, 0.311, 0.388)
O (0.689, 0.689, 0.612)
O (0.700, 0.226, 0.173)
O (0.774, 0.300, 0.827)
O (0.777, 0.777, 0.924)

## Properties
The total energy is -89.0 eV per cell. Its crystal system is monoclinic.

---

The following is a DFT calculation (PBE-GGA) of a relaxed structure of NdScPdSe3.

Lattice parameters (Å, degrees): 6.904 6.904 9.986 90.00 90.00 146.54
Atoms (fractional coordinates):
Nd (0.241, 0.759, 0.750)
Nd (0.759, 0.241, 0.250)
Sc (0.000, 0.000, 0.000)
Sc (0.000, 0.000, 0.500)
Pd (0.471, 0.529, 0.250)
Pd (0.529, 0.471, 0.750)
Se (0.094, 0.906, 0.250)
Se (0.354, 0.646, 0.050)
Se (0.354, 0.646, 0.450)
Se (0.646, 0.354, 0.550)
Se (0.646, 0.354, 0.950)
Se (0.906, 0.094, 0.750)

## Properties
The total energy is -71.1 eV per cell. Its crystal system is orthorhombic.